--- one ---
Density functional theory data (PBE-GGA) for crystalline NbVS2 at its relaxed geometry.

Computed properties:
Its density of states at the Fermi level is 15.65 states/eV per cell. The calculation puts the calculated density at 4.3 g/cm3.

Lattice parameters (Å, degrees): 5.589 5.589 10.286 90.00 90.00 90.00
Space group I-42d (No. 122)
Unique sites:
Nb: 0.000 0.000 0.000 [4 per cell]
V: 0.000 0.000 0.500 [4 per cell]
S: 0.233 0.250 0.625 [8 per cell]


--- two ---
Density functional theory data (PBE-GGA) for crystalline NbVS2 at its relaxed geometry.

Computed properties:
Its density of states at the Fermi level is 11.64 states/eV per cell. The calculation puts the calculated density at 5.6 g/cm3.

Lattice parameters (Å, degrees): 5.648 3.226 13.621 90.00 90.00 90.00
Space group Pnma (No. 62)
Unique sites:
Nb: 0.080 0.250 0.190 [4 per cell]
V: 0.057 0.250 0.416 [4 per cell]
S: 0.241 0.750 0.315 [4 per cell]
S: 0.246 0.750 0.064 [4 per cell]


--- three ---
Density functional theory data (PBE-GGA) for crystalline NbVS2 at its relaxed geometry.

Computed properties:
Its density of states at the Fermi level is 6.10 states/eV per cell. The calculation puts the calculated density at 6.1 g/cm3.

Lattice parameters (Å, degrees): 6.109 6.109 6.109 90.00 90.00 90.00
Space group Fm-3m (No. 225)
Unique sites:
Nb: 0.000 0.000 0.000 [4 per cell]
V: 0.000 0.000 0.500 [4 per cell]
S: 0.250 0.250 0.250 [8 per cell]


Stability ranking, top and bottom: two is the most stable and one is the least stable.


--- one ---
Density functional theory data (PBE-GGA) for crystalline NbV2S6 at its relaxed geometry.

Computed properties:
Its density of states at the Fermi level is 11.64 states/eV per cell. The calculation puts the calculated density at 3.6 g/cm3.

Lattice parameters (Å, degrees): 11.570 4.226 8.350 90.00 119.15 90.00
Space group C2/m (No. 12)
Unique sites:
Nb: 0.000 0.000 0.000 [2 per cell]
V: 0.146 0.000 0.579 [4 per cell]
S: 0.030 0.000 0.724 [4 per cell]
S: 0.144 0.500 0.124 [4 per cell]
S: 0.199 0.500 0.547 [4 per cell]


--- two ---
Density functional theory data (PBE-GGA) for crystalline NbV2S6 at its relaxed geometry.

Computed properties:
Its density of states at the Fermi level is 8.50 states/eV per cell. The calculation puts the calculated density at 3.5 g/cm3.

Lattice parameters (Å, degrees): 16.165 3.267 7.561 90.00 114.42 90.00
Space group C2/m (No. 12)
Unique sites:
Nb: 0.000 0.000 0.000 [2 per cell]
V: 0.173 0.500 0.342 [4 per cell]
S: 0.009 0.500 0.251 [4 per cell]
S: 0.166 0.000 0.107 [4 per cell]
S: 0.172 0.000 0.568 [4 per cell]


Stability ranking, top and bottom: two is the most stable and one is the least stable.


--- one ---
Density functional theory data (PBE-GGA) for crystalline NbWS2 at its relaxed geometry.

Computed properties:
Its density of states at the Fermi level is 16.98 states/eV per cell. The calculation puts the calculated density at 9.9 g/cm3.

Lattice parameters (Å, degrees): 6.115 6.115 6.115 90.00 90.00 90.00
Space group Fm-3m (No. 225)
Unique sites:
Nb: 0.000 0.000 0.000 [4 per cell]
W: 0.000 0.000 0.500 [4 per cell]
S: 0.250 0.250 0.250 [8 per cell]


--- two ---
Density functional theory data (PBE-GGA) for crystalline NbWS2 at its relaxed geometry.

Computed properties:
Its density of states at the Fermi level is 9.02 states/eV per cell. The calculation puts the calculated density at 7.9 g/cm3.

Lattice parameters (Å, degrees): 4.480 4.480 14.361 90.00 90.00 90.00
Space group I-42d (No. 122)
Unique sites:
Nb: 0.000 0.000 0.000 [4 per cell]
W: 0.000 0.000 0.500 [4 per cell]
S: 0.237 0.250 0.625 [8 per cell]


Stability ranking, top and bottom: one is the most stable and two is the least stable.